i:
Material: BaCa2I6
Method: DFT, GGA-PBEsol
State: relaxed

Values from the calculation:
ρ ... 4.13 g/cm³

Geometry as CIF:
```
data_BaCa2I6
_cell_length_a 7.231
_cell_length_b 26.999
_cell_length_c 8.062
_cell_angle_alpha 90.00
_cell_angle_beta 90.00
_cell_angle_gamma 90.00
_symmetry_space_group_name_H-M 'P b c n'
_symmetry_Int_Tables_number 60
_symmetry_space_group_name_Hall '-P 2n 2ab'
loop_
_atom_site_label
_atom_site_type_symbol
_atom_site_fract_x
_atom_site_fract_y
_atom_site_fract_z
_atom_site_occupancy
Ba1 Ba 0.000 0.118 0.250 1
Ca1 Ca 0.000 0.215 0.750 1
Ca2 Ca 0.000 0.452 0.250 1
I1 I 0.239 0.469 0.562 1
I2 I 0.244 0.291 0.562 1
I3 I 0.247 0.368 0.103 1
```

ii:
Material: BaCa2I6
Method: DFT, GGA-PBEsol
State: relaxed

Values from the calculation:
ρ ... 4.42 g/cm³

Geometry as CIF:
```
data_BaCa2I6
_cell_length_a 6.206
_cell_length_b 7.877
_cell_length_c 15.673
_cell_angle_alpha 90.00
_cell_angle_beta 106.11
_cell_angle_gamma 90.00
_symmetry_space_group_name_H-M 'P 1 21/c 1'
_symmetry_Int_Tables_number 14
_symmetry_space_group_name_Hall '-P 2ybc'
loop_
_atom_site_label
_atom_site_type_symbol
_atom_site_fract_x
_atom_site_fract_y
_atom_site_fract_z
_atom_site_occupancy
Ba1 Ba 0.000 0.000 0.000 1
Ca1 Ca 0.396 0.127 0.753 1
I1 I 0.113 0.030 0.236 1
I2 I 0.287 0.641 0.101 1
I3 I 0.474 0.658 0.399 1
```

Relative energies in meV per atom: i 0; ii 25

i:
Material: Ba2CaIn
Method: DFT, GGA-PBEsol
State: relaxed

Values from the calculation:
ρ ... 4.45 g/cm³

Geometry as CIF:
```
data_Ba2CaIn
_cell_length_a 6.066
_cell_length_b 6.066
_cell_length_c 8.711
_cell_angle_alpha 90.00
_cell_angle_beta 90.00
_cell_angle_gamma 90.00
_symmetry_space_group_name_H-M 'I 4/m m m'
_symmetry_Int_Tables_number 139
_symmetry_space_group_name_Hall '-I 4 2'
loop_
_atom_site_label
_atom_site_type_symbol
_atom_site_fract_x
_atom_site_fract_y
_atom_site_fract_z
_atom_site_occupancy
Ba1 Ba 0.000 0.500 0.250 1
Ca1 Ca 0.000 0.000 0.000 1
In1 In 0.000 0.000 0.500 1
```

ii:
Material: Ba2CaIn
Method: DFT, GGA-PBEsol
State: relaxed

Values from the calculation:
ρ ... 4.19 g/cm³

Geometry as CIF:
```
data_Ba2CaIn
_cell_length_a 4.055
_cell_length_b 4.055
_cell_length_c 10.343
_cell_angle_alpha 90.00
_cell_angle_beta 90.00
_cell_angle_gamma 90.00
_symmetry_space_group_name_H-M 'P 4 m m'
_symmetry_Int_Tables_number 99
_symmetry_space_group_name_Hall 'P 4 -2'
loop_
_atom_site_label
_atom_site_type_symbol
_atom_site_fract_x
_atom_site_fract_y
_atom_site_fract_z
_atom_site_occupancy
Ba1 Ba 0.000 0.000 0.000 1
Ba2 Ba 0.500 0.500 0.345 1
Ca1 Ca 0.000 0.000 0.635 1
In1 In 0.500 0.500 0.787 1
```

Relative energies in meV per atom: i 42; ii 0

i:
Material: Ba2CaIn
Method: DFT, GGA-PBEsol
State: relaxed

Values from the calculation:
ρ ... 4.24 g/cm³

Geometry as CIF:
```
data_Ba2CaIn
_cell_length_a 4.112
_cell_length_b 6.244
_cell_length_c 13.092
_cell_angle_alpha 90.00
_cell_angle_beta 90.00
_cell_angle_gamma 90.00
_symmetry_space_group_name_H-M 'I m m 2'
_symmetry_Int_Tables_number 44
_symmetry_space_group_name_Hall 'I 2 -2'
loop_
_atom_site_label
_atom_site_type_symbol
_atom_site_fract_x
_atom_site_fract_y
_atom_site_fract_z
_atom_site_occupancy
Ba1 Ba 0.000 0.000 0.000 1
Ba2 Ba 0.000 0.500 0.198 1
Ca1 Ca 0.000 0.500 0.793 1
In1 In 0.000 0.000 0.479 1
```

ii:
Material: Ba2CaIn
Method: DFT, GGA-PBEsol
State: relaxed

Values from the calculation:
ρ ... 4.29 g/cm³

Geometry as CIF:
```
data_Ba2CaIn
_cell_length_a 5.600
_cell_length_b 4.102
_cell_length_c 14.470
_cell_angle_alpha 90.00
_cell_angle_beta 90.00
_cell_angle_gamma 90.00
_symmetry_space_group_name_H-M 'A m m 2'
_symmetry_Int_Tables_number 38
_symmetry_space_group_name_Hall 'A 2 -2'
loop_
_atom_site_label
_atom_site_type_symbol
_atom_site_fract_x
_atom_site_fract_y
_atom_site_fract_z
_atom_site_occupancy
Ba1 Ba 0.000 0.000 0.000 1
Ba2 Ba 0.500 0.000 0.331 1
Ca1 Ca 0.500 0.000 0.615 1
In1 In 0.000 0.000 0.730 1
```

Relative energies in meV per atom: i 0; ii 70

i:
Material: BaCaIn2W
Method: DFT, GGA-PBEsol
State: relaxed

Values from the calculation:
ρ ... 4.81 g/cm³

Geometry as CIF:
```
data_BaCaIn2W
_cell_length_a 5.858
_cell_length_b 5.858
_cell_length_c 5.939
_cell_angle_alpha 90.00
_cell_angle_beta 90.00
_cell_angle_gamma 90.00
_symmetry_space_group_name_H-M 'P 4/m m m'
_symmetry_Int_Tables_number 123
_symmetry_space_group_name_Hall '-P 4 2'
loop_
_atom_site_label
_atom_site_type_symbol
_atom_site_fract_x
_atom_site_fract_y
_atom_site_fract_z
_atom_site_occupancy
Ba1 Ba 0.000 0.000 0.000 1
Ca1 Ca 0.000 0.000 0.500 1
In1 In 0.000 0.500 0.000 1
W1 W 0.500 0.500 0.500 1
```

ii:
Material: BaCaIn2W
Method: DFT, GGA-PBEsol
State: relaxed

Values from the calculation:
ρ ... 5.39 g/cm³

Geometry as CIF:
```
data_BaCaIn2W
_cell_length_a 5.545
_cell_length_b 5.545
_cell_length_c 5.923
_cell_angle_alpha 90.00
_cell_angle_beta 90.00
_cell_angle_gamma 90.00
_symmetry_space_group_name_H-M 'P 4/m m m'
_symmetry_Int_Tables_number 123
_symmetry_space_group_name_Hall '-P 4 2'
loop_
_atom_site_label
_atom_site_type_symbol
_atom_site_fract_x
_atom_site_fract_y
_atom_site_fract_z
_atom_site_occupancy
Ba1 Ba 0.000 0.000 0.000 1
Ca1 Ca 0.000 0.000 0.500 1
In1 In 0.000 0.500 0.500 1
W1 W 0.500 0.500 0.000 1
```

Relative energies in meV per atom: i 425; ii 0

i:
Material: KBa2Ca
Method: DFT, GGA-PBEsol
State: relaxed

Values from the calculation:
ρ ... 2.67 g/cm³

Geometry as CIF:
```
data_KBa2Ca
_cell_length_a 4.754
_cell_length_b 6.700
_cell_length_c 13.836
_cell_angle_alpha 90.00
_cell_angle_beta 90.00
_cell_angle_gamma 90.00
_symmetry_space_group_name_H-M 'C m m 2'
_symmetry_Int_Tables_number 35
_symmetry_space_group_name_Hall 'C 2 -2'
loop_
_atom_site_label
_atom_site_type_symbol
_atom_site_fract_x
_atom_site_fract_y
_atom_site_fract_z
_atom_site_occupancy
K1 K 0.000 0.000 0.000 1
Ba1 Ba 0.000 0.000 0.477 1
Ba2 Ba 0.000 0.500 0.729 1
Ca1 Ca 0.000 0.500 0.249 1
```

ii:
Material: KBa2Ca
Method: DFT, GGA-PBEsol
State: relaxed

Values from the calculation:
ρ ... 2.59 g/cm³

Geometry as CIF:
```
data_KBa2Ca
_cell_length_a 4.239
_cell_length_b 4.239
_cell_length_c 12.642
_cell_angle_alpha 90.00
_cell_angle_beta 90.00
_cell_angle_gamma 90.00
_symmetry_space_group_name_H-M 'P 4/m m m'
_symmetry_Int_Tables_number 123
_symmetry_space_group_name_Hall '-P 4 2'
loop_
_atom_site_label
_atom_site_type_symbol
_atom_site_fract_x
_atom_site_fract_y
_atom_site_fract_z
_atom_site_occupancy
K1 K 0.000 0.000 0.000 1
Ba1 Ba 0.500 0.500 0.275 1
Ca1 Ca 0.000 0.000 0.500 1
```

iii:
Material: KBa2Ca
Method: DFT, GGA-PBEsol
State: relaxed

Values from the calculation:
ρ ... 2.66 g/cm³

Geometry as CIF:
```
data_KBa2Ca
_cell_length_a 4.2208
_cell_length_b 4.2208
_cell_length_c 42.9509
_cell_angle_alpha 90.00
_cell_angle_beta 90.00
_cell_angle_gamma 120.00
_symmetry_space_group_name_H-M 'R 3 m'
_symmetry_Int_Tables_number 160
_symmetry_space_group_name_Hall 'R 3 -2"'
loop_
_atom_site_label
_atom_site_type_symbol
_atom_site_fract_x
_atom_site_fract_y
_atom_site_fract_z
_atom_site_occupancy
K1 K 0.0000 0.0000 0.0000 1
Ba1 Ba 0.0000 0.0000 0.5070 1
Ba2 Ba 0.0000 0.0000 0.7562 1
Ca1 Ca 0.0000 0.0000 0.2505 1
```

Relative energies in meV per atom: i 5; ii 0; iii 12

i:
Material: KBa2Ca
Method: DFT, GGA-PBEsol
State: relaxed

Values from the calculation:
ρ ... 2.66 g/cm³

Geometry as CIF:
```
data_KBa2Ca
_cell_length_a 4.118
_cell_length_b 6.873
_cell_length_c 7.882
_cell_angle_alpha 90.00
_cell_angle_beta 98.47
_cell_angle_gamma 90.00
_symmetry_space_group_name_H-M 'P 1 m 1'
_symmetry_Int_Tables_number 6
_symmetry_space_group_name_Hall 'P -2y'
loop_
_atom_site_label
_atom_site_type_symbol
_atom_site_fract_x
_atom_site_fract_y
_atom_site_fract_z
_atom_site_occupancy
K1 K 0.000 0.000 0.000 1
Ba1 Ba 0.470 0.000 0.513 1
Ba2 Ba 0.711 0.500 0.249 1
Ca1 Ca 0.160 0.500 0.732 1
```

ii:
Material: KBa2Ca
Method: DFT, GGA-PBEsol
State: relaxed

Values from the calculation:
ρ ... 2.60 g/cm³

Geometry as CIF:
```
data_KBa2Ca
_cell_length_a 9.667
_cell_length_b 9.667
_cell_length_c 9.667
_cell_angle_alpha 90.00
_cell_angle_beta 90.00
_cell_angle_gamma 90.00
_symmetry_space_group_name_H-M 'F m -3 m'
_symmetry_Int_Tables_number 225
_symmetry_space_group_name_Hall '-F 4 2 3'
loop_
_atom_site_label
_atom_site_type_symbol
_atom_site_fract_x
_atom_site_fract_y
_atom_site_fract_z
_atom_site_occupancy
K1 K 0.000 0.000 0.000 1
Ba1 Ba 0.250 0.250 0.250 1
Ca1 Ca 0.000 0.000 0.500 1
```

Relative energies in meV per atom: i 0; ii 20